A relaxed Al2Sn2Hg crystal. Source: Alexandria, functional PBE.

Summary:
* formation enthalpy at 0 K: 0.144 eV per atom
* energy: -3.015 eV per atom
* D(E_F): 4.3 states/eV per cell
* volume: 23.35 A^3/atom

CIF file:
```
data_Al2Sn2Hg
_chemical_formula_sum 'Al4 Sn4 Hg2'
_space_group_name_H-M_alt 'P 1'
_space_group_IT_number 1
_cell_length_a 7.2770
_cell_length_b 7.2770
_cell_length_c 4.4102
_cell_angle_alpha 90.00
_cell_angle_beta 90.00
_cell_angle_gamma 90.00
loop_
_space_group_symop_operation_xyz
'x,y,z'
loop_
_atom_site_label
_atom_site_type_symbol
_atom_site_fract_x
_atom_site_fract_y
_atom_site_fract_z
_atom_site_occupancy
Al1 Al 0.1292 0.3708 0.0000 1
Al2 Al 0.3708 0.8708 0.0000 1
Al3 Al 0.6292 0.1292 0.0000 1
Al4 Al 0.8708 0.6292 0.0000 1
Sn1 Sn 0.1801 0.6801 0.5000 1
Sn2 Sn 0.3199 0.1801 0.5000 1
Sn3 Sn 0.6801 0.8199 0.5000 1
Sn4 Sn 0.8199 0.3199 0.5000 1
Hg1 Hg 0.0000 0.0000 0.0000 1
Hg2 Hg 0.5000 0.5000 0.0000 1
```



A relaxed ZrTe2Se crystal. Source: Alexandria, functional PBE.

Summary:
* formation energy without anion corrections: -467 meV/atom
* energy: -5.046 eV per atom
* D(E_F): 1.5 states/eV per cell
* volume: 32.11 A^3/atom

CIF file:
```
data_ZrTe2Se
_chemical_formula_sum 'Zr1 Te2 Se1'
_space_group_name_H-M_alt 'P 1'
_space_group_IT_number 1
_cell_length_a 7.3298
_cell_length_b 7.3298
_cell_length_c 7.3298
_cell_angle_alpha 150.23
_cell_angle_beta 138.69
_cell_angle_gamma 51.74
loop_
_space_group_symop_operation_xyz
'x,y,z'
loop_
_atom_site_label
_atom_site_type_symbol
_atom_site_fract_x
_atom_site_fract_y
_atom_site_fract_z
_atom_site_occupancy
Zr1 Zr 0.0000 0.0000 0.0000 1
Te1 Te 0.4428 0.4428 0.0000 1
Te2 Te 0.8236 0.3236 0.5000 1
Se1 Se 0.1378 0.6378 0.5000 1
```



A relaxed LiCu2Te4 crystal. Source: Alexandria, functional PBE.

Summary:
* formation energy without anion corrections: -71 meV/atom
* energy: -3.310 eV per atom
* D(E_F): 9.3 states/eV per cell
* volume: 25.28 A^3/atom

CIF file:
```
data_LiCu2Te4
_chemical_formula_sum 'Li2 Cu4 Te8'
_space_group_name_H-M_alt 'P 1'
_space_group_IT_number 1
_cell_length_a 7.7805
_cell_length_b 7.9300
_cell_length_c 7.9358
_cell_angle_alpha 89.76
_cell_angle_beta 60.65
_cell_angle_gamma 60.73
loop_
_space_group_symop_operation_xyz
'x,y,z'
loop_
_atom_site_label
_atom_site_type_symbol
_atom_site_fract_x
_atom_site_fract_y
_atom_site_fract_z
_atom_site_occupancy
Li1 Li 0.2491 0.1153 0.3853 1
Li2 Li 0.7509 0.8847 0.6147 1
Cu1 Cu 0.0000 0.0000 0.0000 1
Cu2 Cu 0.0000 0.5000 0.0000 1
Cu3 Cu 0.5000 0.5000 0.0000 1
Cu4 Cu 0.5000 0.5000 0.5000 1
Te1 Te 0.0218 0.7383 0.7592 1
Te2 Te 0.0245 0.7373 0.2146 1
Te3 Te 0.4758 0.2850 0.7624 1
Te4 Te 0.4787 0.7408 0.7614 1
Te5 Te 0.5213 0.2592 0.2386 1
Te6 Te 0.5242 0.7150 0.2376 1
Te7 Te 0.9755 0.2627 0.7854 1
Te8 Te 0.9782 0.2617 0.2408 1
```



A relaxed InOsCl2 crystal. Source: Alexandria, functional PBE.

Summary:
* formation energy without anion corrections: 631 meV/atom
* energy: -3.784 eV per atom
* D(E_F): 3.5 states/eV per cell
* volume: 18.59 A^3/atom

CIF file:
```
data_InOsCl2
_chemical_formula_sum 'In1 Os1 Cl2'
_space_group_name_H-M_alt 'P 1'
_space_group_IT_number 1
_cell_length_a 3.0220
_cell_length_b 4.5039
_cell_length_c 5.4625
_cell_angle_alpha 90.00
_cell_angle_beta 90.00
_cell_angle_gamma 90.00
loop_
_space_group_symop_operation_xyz
'x,y,z'
loop_
_atom_site_label
_atom_site_type_symbol
_atom_site_fract_x
_atom_site_fract_y
_atom_site_fract_z
_atom_site_occupancy
In1 In 0.0000 0.0000 0.0000 1
Os1 Os 0.5000 0.0000 0.5000 1
Cl1 Cl 0.0000 0.5000 0.5000 1
Cl2 Cl 0.5000 0.5000 0.0000 1
```



A relaxed PaFeNiH6 crystal. Source: Alexandria, functional PBE.

Summary:
* energy: -5.139 eV per atom
* D(E_F): 3.1 states/eV per cell
* volume: 7.44 A^3/atom

CIF file:
```
data_PaFeNiH6
_chemical_formula_sum 'Pa1 Fe1 Ni1 H6'
_space_group_name_H-M_alt 'P 1'
_space_group_IT_number 1
_cell_length_a 4.3461
_cell_length_b 4.3461
_cell_length_c 4.0907
_cell_angle_alpha 90.00
_cell_angle_beta 90.00
_cell_angle_gamma 120.00
loop_
_space_group_symop_operation_xyz
'x,y,z'
loop_
_atom_site_label
_atom_site_type_symbol
_atom_site_fract_x
_atom_site_fract_y
_atom_site_fract_z
_atom_site_occupancy
Pa1 Pa 0.0000 0.0000 0.0000 1
Fe1 Fe 0.6667 0.3333 0.5000 1
Ni1 Ni 0.3333 0.6667 0.5000 1
H1 H 0.5035 0.0070 0.2348 1
H2 H 0.5035 0.0070 0.7652 1
H3 H 0.5035 0.4965 0.2348 1
H4 H 0.5035 0.4965 0.7652 1
H5 H 0.9930 0.4965 0.2348 1
H6 H 0.9930 0.4965 0.7652 1
```



A relaxed Rb3Pm2DyTe6 crystal. Source: Alexandria, functional PBE.

Summary:
* formation energy without anion corrections: -1399 meV/atom
* energy: -4.387 eV per atom
* volume: 39.08 A^3/atom

CIF file:
```
data_Rb3Pm2DyTe6
_chemical_formula_sum 'Rb3 Pm2 Dy1 Te6'
_space_group_name_H-M_alt 'P 1'
_space_group_IT_number 1
_cell_length_a 7.9513
_cell_length_b 7.9513
_cell_length_c 8.9656
_cell_angle_alpha 98.50
_cell_angle_beta 98.50
_cell_angle_gamma 120.00
loop_
_space_group_symop_operation_xyz
'x,y,z'
loop_
_atom_site_label
_atom_site_type_symbol
_atom_site_fract_x
_atom_site_fract_y
_atom_site_fract_z
_atom_site_occupancy
Rb1 Rb 0.0000 0.0000 0.0000 1
Rb2 Rb 0.3317 0.6683 0.0000 1
Rb3 Rb 0.6683 0.3317 0.0000 1
Pm1 Pm 0.1665 0.8335 0.5000 1
Pm2 Pm 0.8335 0.1665 0.5000 1
Dy1 Dy 0.5000 0.5000 0.5000 1
Te1 Te 0.1051 0.4327 0.2979 1
Te2 Te 0.2401 0.2401 0.7026 1
Te3 Te 0.4327 0.1051 0.2979 1
Te4 Te 0.5673 0.8949 0.7021 1
Te5 Te 0.7599 0.7599 0.2974 1
Te6 Te 0.8949 0.5673 0.7021 1
```